Entry 1:
An optimized crystal structure of TbSiHO4. Source: OQMD via LeMat-Bulk, functional PBE-GGA.

Values from the calculation:
For the magnetic moment, the calculation gives 0.00 μB per formula unit. The raw total energy is -310.31 eV/cell. The value obtained for the volume is 12.5 A^3/atom. The space-group type is R-3, No. 148.

a b c (Å): 9.2277 9.2277 9.2277
angles (deg): 112.57 112.57 112.57
Last column: nearest neighbours and their distance in Å.
Sites, in units of the cell vectors:
H: 0.3282 0.4277 0.1650  1 O 1.01
H: 0.4277 0.1650 0.3282  1 O 1.01
H: 0.1650 0.3282 0.4277  1 O 1.01
H: 0.8350 0.6718 0.5723  1 O 1.01
H: 0.5723 0.8350 0.6718  1 O 1.01
H: 0.6718 0.5723 0.8350  1 O 1.01
O: 0.3812 0.7195 0.1058  1 Si 1.62
O: 0.5133 0.4495 0.1560  1 Si 1.60, 1 H 1.68
O: 0.7005 0.2044 0.1577  1 Si 1.66
O: 0.2287 0.4513 0.1606  1 H 1.01
O: 0.1577 0.7005 0.2044  1 Si 1.66
O: 0.4513 0.1606 0.2287  1 H 1.01
O: 0.8942 0.6188 0.2805  1 Si 1.62
O: 0.7956 0.8423 0.2995  1 Si 1.66
O: 0.7195 0.1058 0.3812  1 Si 1.62
O: 0.1560 0.5133 0.4495  1 Si 1.60, 1 H 1.68
O: 0.1606 0.2287 0.4513  1 H 1.01
O: 0.5505 0.8440 0.4867  1 Si 1.60, 1 H 1.68
O: 0.4495 0.1560 0.5133  1 Si 1.60, 1 H 1.68
O: 0.8394 0.7713 0.5487  1 H 1.01
O: 0.8440 0.4867 0.5505  1 Si 1.60, 1 H 1.68
O: 0.2805 0.8942 0.6188  1 Si 1.62
O: 0.2044 0.1577 0.7005  1 Si 1.66
O: 0.1058 0.3812 0.7195  1 Si 1.62
O: 0.5487 0.8394 0.7713  1 H 1.01
O: 0.8423 0.2995 0.7956  1 Si 1.66
O: 0.7713 0.5487 0.8394  1 H 1.01
O: 0.2995 0.7956 0.8423  1 Si 1.66
O: 0.4867 0.5505 0.8440  1 Si 1.60, 1 H 1.68
O: 0.6188 0.2805 0.8942  1 Si 1.62
Si: 0.3499 0.6968 0.2595  4 O 1.60-1.70
Si: 0.7405 0.6501 0.3032  4 O 1.60-1.70
Si: 0.6968 0.2595 0.3499  4 O 1.60-1.70
Si: 0.3032 0.7405 0.6501  4 O 1.60-1.70
Si: 0.2595 0.3499 0.6968  4 O 1.60-1.70
Si: 0.6501 0.3032 0.7405  4 O 1.60-1.70
Tb: 0.5978 0.8591 0.0680  5 O 2.16-2.38
Tb: 0.9320 0.4022 0.1409  5 O 2.16-2.38
Tb: 0.1409 0.9320 0.4022  5 O 2.16-2.38
Tb: 0.8591 0.0680 0.5978  5 O 2.16-2.38
Tb: 0.0680 0.5978 0.8591  5 O 2.16-2.38
Tb: 0.4022 0.1409 0.9320  5 O 2.16-2.38

Entry 2:
An optimized crystal structure of TbSiHO4. Source: OQMD via LeMat-Bulk, functional PBE-GGA.

Values from the calculation:
For the magnetic moment, the calculation gives 0.00 μB per formula unit. The raw total energy is -204.41 eV/cell. The value obtained for the volume is 10.8 A^3/atom. The space-group type is Pnma, No. 62.

a b c (Å): 9.7276 7.0367 4.4230
angles (deg): 90.00 90.00 90.00
Last column: nearest neighbours and their distance in Å.
Sites, in units of the cell vectors:
H: 0.0000 0.0000 0.0000  2 O 1.24
H: 0.0000 0.5000 0.0000  2 O 1.24
H: 0.5000 0.0000 0.5000  2 O 1.24
H: 0.5000 0.5000 0.5000  2 O 1.24
O: 0.1953 0.7500 0.2053  1 Si 1.62
O: 0.1649 0.2500 0.2089  1 Si 1.62
O: 0.9472 0.5622 0.2342  1 H 1.24
O: 0.9472 0.9378 0.2342  1 H 1.24
O: 0.4472 0.5622 0.2658  1 H 1.24
O: 0.4472 0.9378 0.2658  1 H 1.24
O: 0.6649 0.2500 0.2911  1 Si 1.62
O: 0.6953 0.7500 0.2947  1 Si 1.62
O: 0.3047 0.2500 0.7053  1 Si 1.62
O: 0.3351 0.7500 0.7089  1 Si 1.62
O: 0.5528 0.0622 0.7342  1 H 1.24
O: 0.5528 0.4378 0.7342  1 H 1.24
O: 0.0528 0.0622 0.7658  1 H 1.24
O: 0.0528 0.4378 0.7658  1 H 1.24
O: 0.8351 0.7500 0.7911  1 Si 1.62
O: 0.8047 0.2500 0.7947  1 Si 1.62
Si: 0.8493 0.7500 0.1567  4 O 1.62-1.67
Si: 0.3493 0.7500 0.3433  4 O 1.62-1.67
Si: 0.6507 0.2500 0.6567  4 O 1.62-1.67
Si: 0.1507 0.2500 0.8433  4 O 1.62-1.67
Tb: 0.4086 0.2500 0.1453  4 O 2.19-2.39
Tb: 0.9086 0.2500 0.3547  4 O 2.19-2.39
Tb: 0.0914 0.7500 0.6453  4 O 2.19-2.39
Tb: 0.5914 0.7500 0.8547  4 O 2.19-2.39

Entry 3:
An optimized crystal structure of SmH2O2. Source: OQMD via LeMat-Bulk, functional PBE-GGA.

Values from the calculation:
For the magnetic moment, the calculation gives 0.66 μB per formula unit. The raw total energy is -117.70 eV/cell. The value obtained for the volume is 12.9 A^3/atom. The space-group type is P2_12_12_1, No. 19.

a b c (Å): 4.9421 5.6167 9.2808
angles (deg): 90.00 90.00 90.00
Last column: nearest neighbours and their distance in Å.
Sites, in units of the cell vectors:
H: 0.6758 0.5369 0.1435  1 O 1.00
H: 0.3472 0.7720 0.1750  1 O 1.02
H: 0.6528 0.2720 0.3250  1 O 1.02
H: 0.3242 0.0369 0.3565  1 O 1.00
H: 0.8242 0.4631 0.6435  1 O 1.00
H: 0.1528 0.2280 0.6750  1 O 1.02
H: 0.8472 0.7280 0.8250  1 O 1.02
H: 0.1758 0.9631 0.8565  1 O 1.00
O: 0.5974 0.6672 0.0825  1 H 1.00
O: 0.1914 0.8250 0.2391  1 H 1.02
O: 0.8086 0.3250 0.2609  1 H 1.02
O: 0.4026 0.1672 0.4175  1 H 1.00
O: 0.9026 0.3328 0.5825  1 H 1.00
O: 0.3086 0.1750 0.7391  1 H 1.02
O: 0.6914 0.6750 0.7609  1 H 1.02
O: 0.0974 0.8328 0.9175  1 H 1.00
Sm: 0.8606 0.0041 0.1090  4 O 2.27-2.34
Sm: 0.1394 0.5041 0.3910  4 O 2.27-2.34
Sm: 0.6394 0.9959 0.6090  4 O 2.27-2.34
Sm: 0.3606 0.4959 0.8910  4 O 2.27-2.34

Entry 4:
An optimized crystal structure of SmH3O3. Source: OQMD via LeMat-Bulk, functional PBE-GGA.

Values from the calculation:
For the magnetic moment, the calculation gives 0.00 μB per formula unit. The raw total energy is -82.54 eV/cell. The value obtained for the volume is 10.2 A^3/atom. The space-group type is P6_3/m, No. 176.

a b c (Å): 6.3058 6.3058 4.1488
angles (deg): 90.00 90.00 120.00
Last column: nearest neighbours and their distance in Å.
Sites, in units of the cell vectors:
H: 0.3939 0.5122 0.2500  1 O 1.00
H: 0.1183 0.6061 0.2500  1 O 1.00
H: 0.4878 0.8817 0.2500  1 O 1.00
H: 0.5122 0.1183 0.7500  1 O 1.00
H: 0.8817 0.3939 0.7500  1 O 1.00
H: 0.6061 0.4878 0.7500  1 O 1.00
O: 0.0855 0.4333 0.2500  1 H 1.00
O: 0.5667 0.6521 0.2500  1 H 1.00
O: 0.3479 0.9145 0.2500  1 H 1.00
O: 0.6521 0.0855 0.7500  1 H 1.00
O: 0.4333 0.3479 0.7500  1 H 1.00
O: 0.9145 0.5667 0.7500  1 H 1.00
Sm: 0.6667 0.3333 0.2500  9 O 2.39-2.57, 9 H 2.40-2.48
Sm: 0.3333 0.6667 0.7500  9 O 2.39-2.57, 9 H 2.40-2.48

Entry 5:
An optimized crystal structure of SrTaH2O4. Source: OQMD via LeMat-Bulk, functional PBE-GGA.

Values from the calculation:
For the magnetic moment, the calculation gives 0.90 μB per formula unit. The raw total energy is -110.39 eV/cell. The value obtained for the volume is 12.1 A^3/atom. The space-group type is I-42d, No. 122.

a b c (Å): 6.3111 6.3111 6.3111
angles (deg): 108.87 108.87 110.68
Last column: nearest neighbours and their distance in Å.
Sites, in units of the cell vectors:
H: 0.3750 0.9399 0.0649  2 O 1.22
H: 0.0601 0.1250 0.4351  2 O 1.22
H: 0.6899 0.6250 0.5649  2 O 1.22
H: 0.8750 0.3101 0.9351  2 O 1.22
O: 0.0871 0.3528 0.0794  1 H 1.22
O: 0.4767 0.8972 0.2343  1 H 1.22
O: 0.9924 0.9129 0.2657  1 H 1.22
O: 0.7577 0.5233 0.4206  1 H 1.22
O: 0.1028 0.3371 0.5794  1 H 1.22
O: 0.6472 0.7267 0.7343  1 H 1.22
O: 0.6629 0.2424 0.7657  1 H 1.22
O: 0.2733 0.0076 0.9206  1 H 1.22
Sr: 0.5000 0.5000 0.0000  8 O 2.55-2.71
Sr: 0.2500 0.7500 0.5000  8 O 2.55-2.71
Ta: 0.0000 0.0000 0.0000  4 O 1.94
Ta: 0.7500 0.2500 0.5000  4 O 1.94

Entry 6:
An optimized crystal structure of TbHO. Source: OQMD via LeMat-Bulk, functional PBE-GGA.

Values from the calculation:
For the magnetic moment, the calculation gives 0.00 μB per formula unit. The raw total energy is -19.79 eV/cell. The value obtained for the volume is 12.4 A^3/atom. The space-group type is F-43m, No. 216.

a b c (Å): 3.7499 3.7499 3.7499
angles (deg): 60.00 60.00 60.00
Last column: nearest neighbours and their distance in Å.
Sites, in units of the cell vectors:
H: 0.0000 0.0000 0.0000  4 Tb 2.30
O: 0.5000 0.5000 0.5000  4 Tb 2.30
Tb: 0.2500 0.2500 0.2500  4 O 2.30, 4 H 2.30

Entry 7:
An optimized crystal structure of TbYH2O4. Source: OQMD via LeMat-Bulk, functional PBE-GGA.

Values from the calculation:
For the magnetic moment, the calculation gives 0.00 μB per formula unit. The raw total energy is -58.72 eV/cell. The value obtained for the volume is 10.9 A^3/atom. The space-group type is Pm, No. 6.

a b c (Å): 4.3145 3.6085 5.9478
angles (deg): 90.00 109.75 90.00
Last column: nearest neighbours and their distance in Å.
Sites, in units of the cell vectors:
H: 0.5091 0.0000 0.4030  1 O 0.97
H: 0.4908 0.5000 0.5968  1 O 0.97
O: 0.2692 0.5000 0.0561  2 Y 2.27-2.30, 2 Tb 2.27
O: 0.7453 0.0000 0.4345  1 H 0.97
O: 0.2545 0.5000 0.5649  1 H 0.97
O: 0.7313 0.0000 0.9447  2 Tb 2.27-2.31, 2 Y 2.27
Tb: 0.1632 0.0000 0.8090  7 O 2.27-2.43
Y: 0.8366 0.5000 0.1910  7 O 2.27-2.43

Entry 8:
An optimized crystal structure of TlTcHO3. Source: OQMD via LeMat-Bulk, functional PBE-GGA.

Values from the calculation:
For the magnetic moment, the calculation gives 1.00 μB per formula unit. The raw total energy is -72.57 eV/cell. The value obtained for the volume is 13.5 A^3/atom. The space-group type is P-1, No. 2.

a b c (Å): 5.0685 5.5649 6.3864
angles (deg): 110.08 103.20 94.43
Last column: nearest neighbours and their distance in Å.
Sites, in units of the cell vectors:
H: 0.0600 0.2923 0.0384  1 O 0.99
H: 0.9400 0.7077 0.9616  1 O 0.99
O: 0.9001 0.7479 0.1134  1 H 0.99
O: 0.1366 0.2949 0.3495  1 Tc 1.78, 1 H 1.93
O: 0.4582 0.7897 0.3554  2 Tc 1.89-2.11
O: 0.5418 0.2103 0.6446  2 Tc 1.89-2.11
O: 0.8634 0.7051 0.6505  1 Tc 1.78, 1 H 1.93
O: 0.0999 0.2521 0.8866  1 H 0.99
Tc: 0.1795 0.9960 0.3846  3 O 1.78-1.96
Tc: 0.8205 0.0040 0.6154  3 O 1.78-1.96
Tl: 0.6186 0.3470 0.1917  6 O 2.60-2.88, 2 H 2.64-2.73
Tl: 0.3814 0.6530 0.8083  6 O 2.60-2.88, 2 H 2.64-2.73

Entry 9:
An optimized crystal structure of ZnTeH2O5. Source: OQMD via LeMat-Bulk, functional PBE-GGA.

Values from the calculation:
The raw total energy is -89.20 eV/cell. The value obtained for the volume is 10.8 A^3/atom. The space-group type is C2/c, No. 15.

a b c (Å): 5.3713 5.3713 7.5776
angles (deg): 106.64 106.64 97.85
Last column: nearest neighbours and their distance in Å.
Sites, in units of the cell vectors:
H: 0.6628 0.0797 0.1979  1 O 1.01
H: 0.9203 0.3372 0.3021  1 O 1.01
H: 0.0797 0.6628 0.6979  1 O 1.01
H: 0.3372 0.9203 0.8021  1 O 1.01
O: 0.2611 0.3472 0.0427  1 Te 1.83
O: 0.3525 0.9345 0.1518  1 H 1.63
O: 0.8646 0.1354 0.2500  2 H 1.01
O: 0.0655 0.6475 0.3482  1 H 1.63
O: 0.6528 0.7389 0.4573  1 Te 1.83
O: 0.3472 0.2611 0.5427  1 Te 1.83
O: 0.9345 0.3525 0.6518  1 H 1.63
O: 0.1354 0.8646 0.7500  2 H 1.01
O: 0.6475 0.0655 0.8482  1 H 1.63
O: 0.7389 0.6528 0.9573  1 Te 1.83
Te: 0.3417 0.6583 0.2500  4 O 1.83-1.84
Te: 0.6583 0.3417 0.7500  4 O 1.83-1.84
Zn: 0.0000 0.0000 0.0000  6 O 2.05-2.19
Zn: 0.0000 0.0000 0.5000  6 O 2.05-2.19

Entry 10:
An optimized crystal structure of TmH3O3. Source: OQMD via LeMat-Bulk, functional PBE-GGA.

Values from the calculation:
For the magnetic moment, the calculation gives 0.00 μB per formula unit. The raw total energy is -86.30 eV/cell. The value obtained for the volume is 8.1 A^3/atom. The space-group type is P6_3/m, No. 176.

a b c (Å): 6.1477 3.4488 6.1477
angles (deg): 90.00 120.00 90.00
Last column: nearest neighbours and their distance in Å.
Sites, in units of the cell vectors:
H: 0.3587 0.2500 0.2283  1 O 0.97
H: 0.6304 0.7500 0.3587  1 O 0.97
H: 0.2283 0.7500 0.3696  1 O 0.97
H: 0.7717 0.2500 0.6304  1 O 0.97
H: 0.3696 0.2500 0.6413  1 O 0.97
H: 0.6413 0.7500 0.7717  1 O 0.97
O: 0.4170 0.2500 0.1073  1 H 0.97
O: 0.1073 0.7500 0.1903  1 H 0.97
O: 0.8097 0.7500 0.4170  1 H 0.97
O: 0.1903 0.2500 0.5830  1 H 0.97
O: 0.8927 0.2500 0.8097  1 H 0.97
O: 0.5830 0.7500 0.8927  1 H 0.97
Tm: 0.8333 0.2500 0.1667  9 O 2.36-2.40
Tm: 0.1667 0.7500 0.8333  9 O 2.36-2.40

Entry 11:
An optimized crystal structure of Zn2H2O5. Source: OQMD via LeMat-Bulk, functional PBE-GGA.

Values from the calculation:
The raw total energy is -31.99 eV/cell. The value obtained for the volume is 10.2 A^3/atom. The space-group type is P4/mmm, No. 123.

a b c (Å): 6.9058 3.6452 3.6452
angles (deg): 90.00 90.00 90.00
Last column: nearest neighbours and their distance in Å.
Sites, in units of the cell vectors:
H: 0.0000 0.0000 0.0000  8 O 1.96
H: 0.5000 0.0000 0.0000  4 O 2.58
O: 0.1061 0.5000 0.0000  1 O 1.47
O: 0.8939 0.5000 0.0000  1 O 1.47
O: 0.1061 0.0000 0.5000  1 O 1.47
O: 0.8939 0.0000 0.5000  1 O 1.47
O: 0.5000 0.5000 0.5000  2 Zn 1.83
Zn: 0.2350 0.5000 0.5000  5 O 1.83-2.03
Zn: 0.7650 0.5000 0.5000  5 O 1.83-2.03

Entry 12:
An optimized crystal structure of Zn2H11O8. Source: OQMD via LeMat-Bulk, functional PBE-GGA.

Values from the calculation:
The raw total energy is -95.40 eV/cell. The value obtained for the volume is 5.9 A^3/atom. The space-group type is Pmm2, No. 25.

a b c (Å): 5.4328 5.2217 4.4033
angles (deg): 90.00 90.00 90.00
Last column: nearest neighbours and their distance in Å.
Sites, in units of the cell vectors:
H: 0.5713 0.1008 0.2062  1 O 1.04
H: 0.9287 0.1008 0.2062  1 O 1.04
H: 0.5713 0.3992 0.2062  1 O 1.04
H: 0.9287 0.3992 0.2062  1 O 1.04
H: 0.7500 0.7500 0.4463  2 O 1.20
H: 0.2500 0.2500 0.5931  2 O 1.24
H: 0.0962 0.5809 0.7431  1 O 1.16
H: 0.4038 0.5809 0.7431  1 O 1.16
H: 0.0962 0.9191 0.7431  1 O 1.16
H: 0.4038 0.9191 0.7431  1 O 1.16
H: 0.7500 0.7500 0.9303  2 O 1.27
O: 0.5038 0.2500 0.0752  2 H 1.04
O: 0.9962 0.2500 0.0752  2 H 1.04
O: 0.7500 0.5203 0.4320  1 H 1.20
O: 0.7500 0.9797 0.4320  1 H 1.20
O: 0.2500 0.0117 0.5958  3 H 1.16-1.24
O: 0.2500 0.4883 0.5958  3 H 1.16-1.24
O: 0.5163 0.7500 0.9200  3 H 1.27-1.33
O: 0.9837 0.7500 0.9200  3 H 1.27-1.33
Zn: 0.2500 0.7500 0.2415  4 O 2.02-2.07
Zn: 0.7500 0.2500 0.7314  4 O 1.93-2.02